VASP calculation (PBE-GGA) on a relaxed Na3U4S8 crystal.

Results
V	23.37	Å³/atom
formation energy (no corrections)	-1323	meV per atom
crystal system	monoclinic

Structure (CIF):
```
data_Na3U4S8
_chemical_formula_sum 'Na6 U8 S16'
_symmetry_space_group_name_H-M 'C 1 2/m 1'
_symmetry_Int_Tables_number 12
_cell_length_a 11.1085
_cell_length_b 11.2148
_cell_length_c 7.8645
_cell_angle_alpha 90.00
_cell_angle_beta 134.31
_cell_angle_gamma 90.00
loop_
_symmetry_equiv_pos_as_xyz
'x,y,z'
'-x,-y,-z'
'-x,y,-z'
'x,-y,z'
'x+1/2,y+1/2,z'
'-x+1/2,-y+1/2,-z'
'-x+1/2,y+1/2,-z'
'x+1/2,-y+1/2,z'
loop_
_atom_site_label
_atom_site_type_symbol
_atom_site_fract_x
_atom_site_fract_y
_atom_site_fract_z
Na1 Na 0.0000 0.0000 0.0000
Na2 Na 0.2500 0.2500 0.0000
U1 U 0.0000 0.5000 0.0000
U2 U 0.0000 0.5000 0.5000
U3 U 0.2500 0.2500 0.5000
S1 S 0.0000 0.2550 0.0000
S2 S 0.0000 0.2570 0.5000
S3 S 0.2262 0.5000 0.9723
S4 S 0.2441 0.5000 0.4906
```